NpAgSn2, optimized geometry, DFT GGA-PBE; energy of formation = 0.13 eV/atom; E above lowest polymorph = 164 meV per atom; total moment = 4.10 μB per cell
1.0
-4.5350 1.7407 -1.7403
-4.2993 -0.8218 2.7322
-2.3371 3.9373 2.3791
Np Sn Ag
1 2 1
Cartesian
0.0000 0.0000 0.0000
-2.7929 1.2140 0.8427
-8.3786 3.6421 2.5282
-5.5857 2.4281 1.6855